Entry 1:
Below is a relaxed Sc6ReO12 crystal, with properties calculated at the PBE level.

a b c (Å): 6.1351 6.1351 6.1351
angles (deg): 99.12 99.12 99.12
Last column: magnetic moment on the atom in μB.
Fractional positions:
1 Sc 0.8557 0.6710 0.3915  0.01
2 Sc 0.3915 0.8557 0.6710  0.01
3 Sc 0.1443 0.3290 0.6085  0.01
4 Sc 0.6710 0.3915 0.8557  0.01
5 Sc 0.3290 0.6085 0.1443  0.01
6 Sc 0.6085 0.1443 0.3290  0.01
7 O 0.5868 0.4180 0.1778  0.00
8 O 0.4180 0.1778 0.5868  0.00
9 O 0.6959 0.0440 0.9017  0.02
10 O 0.3041 0.9560 0.0983  0.02
11 O 0.1778 0.5868 0.4180  0.00
12 O 0.5820 0.8222 0.4132  0.00
13 O 0.9560 0.0983 0.3041  0.02
14 O 0.0440 0.9017 0.6959  0.02
15 O 0.8222 0.4132 0.5820  0.00
16 O 0.0983 0.3041 0.9560  0.02
17 O 0.9017 0.6959 0.0440  0.02
18 O 0.4132 0.5820 0.8222  0.00
19 Re 0.0000 0.0000 0.0000  0.74

Values from the calculation:
- space-group type = R-3
- M_tot (μB/atom) = 0.0535
- VASP energy (eV/cell) = -168.9
- ΔE_f (raw) (eV per atom) = -3.1039



Entry 2:
Below is a relaxed Sc3ReO crystal, with properties calculated at the PBE level.

a b c (Å): 5.0022 5.0022 5.0022
angles (deg): 90.00 90.00 90.00
Fractional positions:
1 Sc 0.5000 0.0000 0.0000
2 Sc 0.0000 0.0000 0.5000
3 Sc 0.0000 0.5000 0.0000
4 Re 0.0000 0.0000 0.0000
5 O 0.5000 0.5000 0.5000

Values from the calculation:
- space-group type = Pm-3m
- M_tot (μB/atom) = 0.0000
- VASP energy (eV/cell) = -33.9
- ΔE_f (raw) (eV per atom) = 0.4964



Entry 3:
Below is a relaxed ScReO6 crystal, with properties calculated at the PBE level.

a b c (Å): 5.0663 5.0663 5.0151
angles (deg): 96.95 96.95 120.16
Last column: magnetic moment on the atom in μB.
Fractional positions:
1 O 0.2611 0.2611 0.7339  0.37
2 O 0.5757 0.8667 0.7281  0.29
3 O 0.1333 0.4243 0.2719  0.29
4 O 0.8667 0.5757 0.7281  0.29
5 O 0.7389 0.7389 0.2661  0.37
6 O 0.4243 0.1333 0.2719  0.29
7 Sc 0.0000 0.0000 0.0000  -0.05
8 Re 0.5000 0.5000 0.5000  -0.20

Values from the calculation:
- space-group type = C2/m
- M_tot (μB/atom) = 0.2519
- VASP energy (eV/cell) = -60.8
- ΔE_f (raw) (eV per atom) = -1.5306



Entry 4:
Below is a relaxed ScReO3 crystal, with properties calculated at the PBE level.

a b c (Å): 3.9762 3.9762 3.9762
angles (deg): 90.00 90.00 90.00
Last column: magnetic moment on the atom in μB.
Fractional positions:
1 O 0.0000 0.0000 0.5000  0.03
2 O 0.5000 0.0000 0.0000  0.03
3 O 0.0000 0.5000 0.0000  -0.02
4 Sc 0.0000 0.0000 0.0000  0.00
5 Re 0.5000 0.5000 0.5000  3.48

Values from the calculation:
- space-group type = Pm-3m
- M_tot (μB/atom) = 0.8000
- VASP energy (eV/cell) = -37.5
- ΔE_f (raw) (eV per atom) = -0.7742



Entry 5:
Below is a relaxed ScRe2O8 crystal, with properties calculated at the PBE level.

a b c (Å): 5.4302 6.5459 6.5459
angles (deg): 66.92 82.43 82.43
Last column: magnetic moment on the atom in μB.
Fractional positions:
1 O 0.7324 0.6551 0.6551  0.01
2 O 0.3281 0.8665 0.8665  0.00
3 O 0.1860 0.9326 0.2957  0.03
4 O 0.8140 0.7043 0.0674  0.03
5 O 0.2676 0.3449 0.3449  0.01
6 O 0.6719 0.1335 0.1335  0.00
7 O 0.8140 0.0674 0.7043  0.03
8 O 0.1860 0.2957 0.9326  0.03
9 Re 0.3423 0.1855 0.1855  0.29
10 Re 0.6577 0.8145 0.8145  0.29
11 Sc 0.0000 0.0000 0.0000  0.13

Values from the calculation:
- space-group type = C2/m
- M_tot (μB/atom) = 0.0900
- VASP energy (eV/cell) = -91.2
- ΔE_f (raw) (eV per atom) = -1.8468



Entry 6:
Below is a relaxed Sc2Re2O crystal, with properties calculated at the PBE level.

a b c (Å): 5.3563 5.3563 4.9881
angles (deg): 57.53 57.53 90.00
Fractional positions:
1 Sc 0.2500 0.7500 0.5000
2 Sc 0.7500 0.2500 0.5000
3 Re 0.3069 0.3069 0.3863
4 Re 0.6931 0.6931 0.6137
5 O 0.0000 0.0000 0.0000

Values from the calculation:
- space-group type = I4/mmm
- M_tot (μB/atom) = 0.0000
- VASP energy (eV/cell) = -41.3
- ΔE_f (raw) (eV per atom) = 0.2452